#one
VASP calculation (PBE) on an optimized crystal structure of KBa2H.

Summary:
The symmetry is R-3m. The density of states at the Fermi level is 0.846 states/eV per atom. As for the crystal system: trigonal.

a = 4.287 Å, b = 4.287 Å, c = 11.956 Å
α = 79.67°, β = 79.67°, γ = 60.00°
Last column: magnetic moment on the atom in μB.
Sites, in units of the cell vectors:
H: 0.500 0.500 0.500  -0.01
K: 0.000 0.000 0.000  0.00
Ba: 0.121 0.121 0.636  0.18
Ba: 0.879 0.879 0.364  0.18

=====

#two
VASP calculation (PBE) on an optimized crystal structure of KBa2H.

Summary:
The symmetry is R3m. The density of states at the Fermi level is 0.971 states/eV per atom. As for the crystal system: trigonal.

a = 4.334 Å, b = 4.334 Å, c = 11.465 Å
α = 79.11°, β = 79.11°, γ = 60.00°
Last column: magnetic moment on the atom in μB.
Sites, in units of the cell vectors:
K: 0.500 0.500 0.500  0.00
Ba: 0.048 0.048 0.857  0.15
Ba: 0.286 0.286 0.142  0.15
H: 0.667 0.667 0.000  -0.01

=====

Computed relative energies in units of meV per atom: #one 31; #two 0

=====

#one
VASP calculation (PBE) on an optimized crystal structure of KBaH3.

Summary:
The symmetry is Pm-3m. The density of states at the Fermi level is 0.000 states/eV per atom. As for the crystal system: cubic.

a = 4.685 Å, b = 4.685 Å, c = 4.685 Å
α = 90.00°, β = 90.00°, γ = 90.00°
Sites, in units of the cell vectors:
H: 0.000 0.500 0.000
H: 0.000 0.000 0.500
H: 0.500 0.000 0.000
K: 0.000 0.000 0.000
Ba: 0.500 0.500 0.500

=====

#two
VASP calculation (PBE) on an optimized crystal structure of KBaH3.

Summary:
The symmetry is Pm-3m. The density of states at the Fermi level is 0.000 states/eV per atom. As for the crystal system: cubic.

a = 5.115 Å, b = 5.115 Å, c = 5.115 Å
α = 90.00°, β = 90.00°, γ = 90.00°
Sites, in units of the cell vectors:
H: 0.000 0.500 0.000
H: 0.000 0.000 0.500
H: 0.500 0.000 0.000
K: 0.500 0.500 0.500
Ba: 0.000 0.000 0.000

=====

#three
VASP calculation (PBE) on an optimized crystal structure of KBaH3.

Summary:
The symmetry is P2_1/c. The density of states at the Fermi level is 0.000 states/eV per atom. As for the crystal system: monoclinic.

a = 6.814 Å, b = 6.992 Å, c = 8.791 Å
α = 95.30°, β = 90.00°, γ = 90.00°
Sites, in units of the cell vectors:
K: 0.257 0.935 0.591
K: 0.743 0.065 0.409
K: 0.757 0.065 0.909
K: 0.243 0.935 0.091
Ba: 0.744 0.554 0.149
Ba: 0.256 0.446 0.851
Ba: 0.244 0.446 0.351
Ba: 0.756 0.554 0.649
H: 0.024 0.795 0.320
H: 0.976 0.205 0.680
H: 0.524 0.205 0.180
H: 0.476 0.795 0.820
H: 0.545 0.714 0.421
H: 0.455 0.286 0.579
H: 0.045 0.286 0.079
H: 0.955 0.714 0.921
H: 0.129 0.599 0.617
H: 0.871 0.401 0.383
H: 0.629 0.401 0.883
H: 0.371 0.599 0.117

=====

#four
VASP calculation (PBE) on an optimized crystal structure of KBaH3.

Summary:
The symmetry is P2_1/m. The density of states at the Fermi level is 0.000 states/eV per atom. As for the crystal system: monoclinic.

a = 4.462 Å, b = 6.404 Å, c = 10.768 Å
α = 120.86°, β = 90.00°, γ = 90.00°
Sites, in units of the cell vectors:
K: 0.250 0.755 0.849
K: 0.750 0.781 0.151
Ba: 0.750 0.118 0.611
Ba: 0.250 0.419 0.389
H: 0.750 0.209 0.403
H: 0.750 0.530 0.864
H: 0.250 0.006 0.136
H: 0.250 0.327 0.597
H: 0.250 0.881 0.640
H: 0.750 0.655 0.360

=====

Computed relative energies in units of meV per atom: #one 256; #two 130; #three 0; #four 24

=====

#one
VASP calculation (PBE) on an optimized crystal structure of KBa2NaH.

Summary:
The symmetry is P4/mmm. The density of states at the Fermi level is 1.205 states/eV per atom. As for the crystal system: tetragonal.

a = 7.507 Å, b = 7.507 Å, c = 5.741 Å
α = 90.00°, β = 90.00°, γ = 90.00°
Last column: magnetic moment on the atom in μB.
Sites, in units of the cell vectors:
Na: 0.000 0.000 0.500  0.00
K: 0.000 0.000 0.000  0.02
Ba: 0.000 0.500 0.000  0.07
Ba: 0.500 0.000 0.000  0.07
H: 0.500 0.500 0.500  -0.01

=====

#two
VASP calculation (PBE) on an optimized crystal structure of KBa2NaH.

Summary:
The symmetry is P4/mmm. The density of states at the Fermi level is 0.537 states/eV per atom. As for the crystal system: tetragonal.

a = 5.768 Å, b = 5.768 Å, c = 6.588 Å
α = 90.00°, β = 90.00°, γ = 90.00°
Sites, in units of the cell vectors:
Na: 0.000 0.000 0.500
K: 0.500 0.500 0.500
Ba: 0.000 0.500 0.000
Ba: 0.500 0.000 0.000
H: 0.000 0.000 0.000

=====

#three
VASP calculation (PBE) on an optimized crystal structure of KBa2NaH.

Summary:
The symmetry is P4/mmm. The density of states at the Fermi level is 0.658 states/eV per atom. As for the crystal system: tetragonal.

a = 5.832 Å, b = 5.832 Å, c = 6.283 Å
α = 90.00°, β = 90.00°, γ = 90.00°
Sites, in units of the cell vectors:
Na: 0.500 0.500 0.500
K: 0.000 0.000 0.500
Ba: 0.000 0.500 0.000
Ba: 0.500 0.000 0.000
H: 0.000 0.000 0.000

=====

Computed relative energies in units of meV per atom: #one 901; #two 28; #three 0

=====

#one
VASP calculation (PBE) on an optimized crystal structure of KBaHO.

Summary:
The symmetry is R-3m. The density of states at the Fermi level is 0.000 states/eV per atom. As for the crystal system: trigonal.

a = 4.570 Å, b = 4.570 Å, c = 11.447 Å
α = 78.49°, β = 78.49°, γ = 60.00°
Sites, in units of the cell vectors:
K: 0.790 0.790 0.630
K: 0.210 0.210 0.370
Ba: 0.625 0.625 0.124
Ba: 0.375 0.375 0.876
H: 0.123 0.123 0.632
H: 0.877 0.877 0.368
O: 0.702 0.702 0.893
O: 0.298 0.298 0.107

=====

#two
VASP calculation (PBE) on an optimized crystal structure of KBaHO.

Summary:
The symmetry is F-43m. The density of states at the Fermi level is 0.000 states/eV per atom. As for the crystal system: cubic.

a = 4.687 Å, b = 4.687 Å, c = 4.687 Å
α = 60.00°, β = 60.00°, γ = 60.00°
Sites, in units of the cell vectors:
H: 0.250 0.250 0.250
K: 0.000 0.000 0.000
Ba: 0.500 0.500 0.500
O: 0.750 0.750 0.750

=====

Computed relative energies in units of meV per atom: #one 0; #two 146

=====

#one
VASP calculation (PBE) on an optimized crystal structure of KBa2SiH.

Summary:
The symmetry is P4/mmm. The density of states at the Fermi level is 0.728 states/eV per atom. As for the crystal system: tetragonal.

a = 6.310 Å, b = 4.213 Å, c = 6.310 Å
α = 90.00°, β = 90.00°, γ = 90.00°
Sites, in units of the cell vectors:
H: 0.000 0.500 0.000
K: 0.000 0.000 0.000
Si: 0.500 0.500 0.500
Ba: 0.000 0.000 0.500
Ba: 0.500 0.000 0.000

=====

#two
VASP calculation (PBE) on an optimized crystal structure of KBa2SiH.

Summary:
The symmetry is P4/mmm. The density of states at the Fermi level is 0.618 states/eV per atom. As for the crystal system: tetragonal.

a = 6.790 Å, b = 4.244 Å, c = 6.790 Å
α = 90.00°, β = 90.00°, γ = 90.00°
Sites, in units of the cell vectors:
H: 0.000 0.500 0.000
K: 0.500 0.500 0.500
Si: 0.000 0.000 0.000
Ba: 0.000 0.000 0.500
Ba: 0.500 0.000 0.000

=====

Computed relative energies in units of meV per atom: #one 159; #two 0

=====

#one
VASP calculation (PBE) on an optimized crystal structure of KBaSr2H.

Summary:
The symmetry is P4/mmm. The density of states at the Fermi level is 0.922 states/eV per atom. As for the crystal system: tetragonal.

a = 5.808 Å, b = 5.808 Å, c = 6.532 Å
α = 90.00°, β = 90.00°, γ = 90.00°
Sites, in units of the cell vectors:
Sr: 0.000 0.500 0.000
Sr: 0.500 0.000 0.000
K: 0.000 0.000 0.500
Ba: 0.500 0.500 0.500
H: 0.000 0.000 0.000

=====

#two
VASP calculation (PBE) on an optimized crystal structure of KBaSr2H.

Summary:
The symmetry is P4/mmm. The density of states at the Fermi level is 0.693 states/eV per atom. As for the crystal system: tetragonal.

a = 6.011 Å, b = 6.011 Å, c = 6.073 Å
α = 90.00°, β = 90.00°, γ = 90.00°
Sites, in units of the cell vectors:
Sr: 0.000 0.500 0.000
Sr: 0.500 0.000 0.000
K: 0.500 0.500 0.500
Ba: 0.000 0.000 0.500
H: 0.000 0.000 0.000

=====

Computed relative energies in units of meV per atom: #one 38; #two 0